A geometry-optimized KBaCr2 structure. Source: Alexandria via LeMat-Bulk, functional PBE.

Results
Total moment: 9.88 μB per cell
Energy relative to the elements: 1.21 eV/atom
Volume: 155.3 Å³ per cell
Fermi-level density of states: 3.5 states/eV per cell
Total energy: -4.357 eV per atom
Energy above the lowest structure with this stoichiometry: 0.5074 eV per atom

abc: 11.183 11.183 11.183
angles: 20.86 20.86 20.86
Positions (direct):
Cr  0.003  0.003  0.003
Cr  0.497  0.497  0.497
K  0.250  0.250  0.250
Ba  0.750  0.750  0.750

=====

A geometry-optimized LiNbAl structure. Source: Alexandria via LeMat-Bulk, functional PBE.

Results
Total moment: 0.00 μB per cell
Energy relative to the elements: 0.10 eV/atom
Volume: 103.7 Å³ per cell
Fermi-level density of states: 4.5 states/eV per cell
Total energy: -5.141 eV per atom

abc: 4.795 4.600 6.009
angles: 78.00 66.49 58.59
Positions (direct):
Al  0.617  0.000  0.766
Al  0.383  0.000  0.234
Nb  0.177  0.647  0.000
Nb  0.823  0.353  0.000
Li  0.250  0.500  0.500
Li  0.750  0.500  0.500

=====

A geometry-optimized K2Hg5 structure. Source: Alexandria via LeMat-Bulk, functional PBE.

Results
Total moment: 0.00 μB per cell
Energy relative to the elements: -0.24 eV/atom
Volume: 228.1 Å³ per cell
Fermi-level density of states: 4.0 states/eV per cell
Total energy: -0.767 eV per atom

abc: 5.155 6.393 7.923
angles: 105.83 90.00 113.77
Positions (direct):
K  0.137  0.274  0.270
K  0.863  0.726  0.730
Hg  0.608  0.217  0.926
Hg  0.500  0.000  0.500
Hg  0.163  0.326  0.736
Hg  0.837  0.674  0.264
Hg  0.392  0.783  0.074

=====

A geometry-optimized Cs2YAuBr6 structure. Source: Alexandria via LeMat-Bulk, functional PBE.

Results
Total moment: 0.00 μB per cell
Formation energy (no corrections): -1402 kJ/mol of formula units
Volume: 368.8 Å³ per cell
Fermi-level density of states: 0.0 states/eV per cell
Total energy: -3.601 eV per atom

abc: 8.049 8.049 8.049
angles: 60.00 60.00 60.00
Positions (direct):
Br  0.753  0.247  0.753
Br  0.247  0.247  0.753
Br  0.247  0.753  0.247
Br  0.753  0.247  0.247
Br  0.753  0.753  0.247
Br  0.247  0.753  0.753
Au  0.500  0.500  0.500
Y  0.000  0.000  0.000
Cs  0.750  0.750  0.750
Cs  0.250  0.250  0.250

=====

A geometry-optimized Dy2Zr2Sc3 structure. Source: Alexandria via LeMat-Bulk, functional PBE.

Results
Total moment: 0.00 μB per cell
Energy relative to the elements: 0.06 eV/atom
Volume: 179.4 Å³ per cell
Fermi-level density of states: 10.4 states/eV per cell
Total energy: -6.413 eV per atom

abc: 3.312 10.942 10.419
angles: 40.58 71.42 98.69
Positions (direct):
Dy  0.558  0.853  0.865
Dy  0.442  0.147  0.135
Sc  0.863  0.296  0.285
Sc  0.000  0.000  0.000
Sc  0.137  0.704  0.715
Zr  0.727  0.573  0.560
Zr  0.273  0.427  0.440

=====

A geometry-optimized SmHo3B structure. Source: Alexandria via LeMat-Bulk, functional PBE.

Results
Total moment: 0.00 μB per cell
Energy relative to the elements: 0.05 eV/atom
Volume: 136.5 Å³ per cell
Fermi-level density of states: 5.7 states/eV per cell
Total energy: -4.974 eV per atom

abc: 5.148 5.148 5.148
angles: 90.00 90.00 90.00
Positions (direct):
B  0.000  0.000  0.000
Sm  0.500  0.500  0.500
Ho  0.000  0.000  0.500
Ho  0.000  0.500  0.000
Ho  0.500  0.000  0.000

=====

A geometry-optimized ZrAgRh2 structure. Source: Alexandria via LeMat-Bulk, functional PBE.

Results
Total moment: 0.00 μB per cell
Energy relative to the elements: -0.21 eV/atom
Volume: 68.6 Å³ per cell
Fermi-level density of states: 5.2 states/eV per cell
Total energy: -6.733 eV per atom

abc: 3.480 3.480 5.668
angles: 90.00 90.00 90.00
Positions (direct):
Ag  0.500  0.500  0.767
Zr  0.000  0.000  0.470
Rh  0.500  0.500  0.258
Rh  0.000  0.000  0.006

=====

A geometry-optimized KCoSnBi2 structure. Source: Alexandria via LeMat-Bulk, functional PBE.

Results
Total moment: 2.41 μB per cell
Energy relative to the elements: 1.71 eV/atom
Volume: 203.0 Å³ per cell
Fermi-level density of states: 7.6 states/eV per cell
Total energy: -2.280 eV per atom

abc: 5.926 5.782 5.926
angles: 90.00 90.00 90.00
Positions (direct):
K  0.000  0.000  0.000
Bi  0.000  0.000  0.500
Bi  0.500  0.000  0.000
Co  0.500  0.500  0.500
Sn  0.000  0.500  0.000

=====

Q: Which value of volume does entry 5 give?
A: 179.4 Å³ per cell